Model a:
{"formula": "Al5Ag6", "functional": "GGA-PBE", "state": "relaxed", "total_magnetization_mub_per_fu": 0.0, "crystal_system": "triclinic", "volume_a3_per_atom": 17.1, "sg": "P1, No. 1", "lattice_angstrom": [[2.970, 0.013, -0.007], [-1.463, 7.474, 0.013], [-0.033, 0.242, 8.444]], "species": ["Ag", "Ag", "Ag", "Ag", "Ag", "Ag", "Al", "Al", "Al", "Al", "Al"], "fractional_positions": [[0.995, 0.991, 0.991], [0.547, 0.092, 0.286], [0.634, 0.272, 0.805], [0.182, 0.365, 0.090], [0.275, 0.557, 0.626], [0.365, 0.724, 0.193], [0.093, 0.186, 0.548], [0.724, 0.451, 0.360], [0.814, 0.629, 0.913], [0.914, 0.824, 0.458], [0.455, 0.909, 0.730]]}

=====

Model b:
{"formula": "Al5Ag6", "functional": "GGA-PBE", "state": "relaxed", "total_magnetization_mub_per_fu": 0.0, "crystal_system": "triclinic", "volume_a3_per_atom": 17.1, "sg": "P-1, No. 2", "lattice_angstrom": [[-2.462, 1.507, -4.037], [1.291, -7.470, -2.105], [-4.026, -0.814, 2.736]], "species": ["Ag", "Ag", "Ag", "Ag", "Ag", "Ag", "Al", "Al", "Al", "Al", "Al"], "fractional_positions": [[0.022, 0.995, 0.985], [0.564, 0.083, 0.275], [0.618, 0.280, 0.816], [0.160, 0.368, 0.106], [0.272, 0.560, 0.651], [0.910, 0.804, 0.440], [0.091, 0.182, 0.545], [0.705, 0.442, 0.362], [0.813, 0.637, 0.904], [0.369, 0.727, 0.187], [0.477, 0.921, 0.729]]}

=====

Model c:
{"formula": "Al5Ag6", "functional": "GGA-PBE", "state": "relaxed", "total_magnetization_mub_per_fu": 0.0, "crystal_system": "monoclinic", "volume_a3_per_atom": 17.6, "sg": "C2/m, No. 12", "lattice_angstrom": [[-6.712, 1.554, 2.835], [-5.196, -3.699, -0.487], [-0.216, -1.978, 4.858]], "species": ["Al", "Al", "Al", "Al", "Al", "Ag", "Ag", "Ag", "Ag", "Ag", "Ag"], "fractional_positions": [[0.500, 0.000, 0.500], [0.369, 0.262, 0.000], [0.631, 0.738, 0.000], [0.235, 0.530, 0.500], [0.765, 0.470, 0.500], [0.814, 0.000, 0.682], [0.186, 0.000, 0.318], [0.331, 0.717, 0.823], [0.952, 0.717, 0.177], [0.669, 0.283, 0.177], [0.048, 0.283, 0.823]]}

=====

On energetic grounds, model a is preferred over the next structure by 0.7 kJ/mol of atoms.

=====

Model a:
{"formula": "Al5Ag6", "functional": "GGA-PBE", "state": "relaxed", "total_magnetization_mub_per_fu": 0.0, "crystal_system": "triclinic", "volume_a3_per_atom": 17.0, "sg": "P1, No. 1", "lattice_angstrom": [[4.885, -0.066, 0.016], [-0.354, 7.906, 0.010], [-0.746, -0.766, 4.852]], "species": ["Ag", "Ag", "Ag", "Ag", "Ag", "Ag", "Al", "Al", "Al", "Al", "Al"], "fractional_positions": [[0.003, 0.983, 0.984], [0.553, 0.095, 0.270], [0.618, 0.279, 0.810], [0.164, 0.360, 0.103], [0.265, 0.554, 0.644], [0.387, 0.728, 0.197], [0.083, 0.183, 0.549], [0.719, 0.450, 0.362], [0.822, 0.628, 0.909], [0.921, 0.819, 0.448], [0.465, 0.920, 0.725]]}

=====

Model b:
{"formula": "Al5Ag6", "functional": "GGA-PBE", "state": "relaxed", "total_magnetization_mub_per_fu": 0.0, "crystal_system": "monoclinic", "volume_a3_per_atom": 17.0, "sg": "C2/m, No. 12", "lattice_angstrom": [[-0.115, 3.676, -1.151], [-1.814, -4.907, -9.036], [-4.728, -1.948, 0.706]], "species": ["Ag", "Ag", "Ag", "Ag", "Ag", "Ag", "Al", "Al", "Al", "Al", "Al"], "fractional_positions": [[0.980, 0.989, 0.972], [0.721, 0.082, 0.359], [0.174, 0.272, 0.077], [0.916, 0.365, 0.468], [0.370, 0.554, 0.186], [0.110, 0.647, 0.574], [0.449, 0.184, 0.715], [0.642, 0.453, 0.831], [0.824, 0.726, 0.923], [0.545, 0.818, 0.273], [0.267, 0.911, 0.622]]}

=====

On energetic grounds, model a is preferred over the next structure by 0.5 kJ/mol of atoms.